Record 1
The following is a GGA-PBE calculation of a geometry-optimized MgSeI2 structure, from Alexandria.

Computed properties:
- crystal system = cubic
- space-group type = Fm-3m, No. 225
- formation energy (no corrections) (meV/atom) = 116
- V (A^3/atom) = 28.88

```
16
Lattice="7.731 0.000 0.000 0.000 7.731 0.000 0.000 0.000 7.731" Properties=species:S:1:pos:R:3 pbc="T T T"
Mg 0.000 0.000 0.000
Mg 0.000 3.865 3.865
Mg 3.865 0.000 3.865
Mg 3.865 3.865 0.000
Se 0.000 0.000 3.865
Se 0.000 3.865 0.000
Se 3.865 0.000 0.000
Se 3.865 3.865 3.865
I 1.933 1.933 1.933
I 1.933 1.933 5.798
I 1.933 5.798 1.933
I 1.933 5.798 5.798
I 5.798 1.933 1.933
I 5.798 1.933 5.798
I 5.798 5.798 1.933
I 5.798 5.798 5.798
```

***

Record 2
The following is a GGA-PBE calculation of a geometry-optimized MgSeI3 structure, from Alexandria.

Computed properties:
- crystal system = cubic
- space-group type = Pm-3m, No. 221
- formation energy (no corrections) (meV/atom) = 96
- V (A^3/atom) = 38.63

```
5
Lattice="5.781 0.000 0.000 0.000 5.781 0.000 0.000 0.000 5.781" Properties=species:S:1:pos:R:3 pbc="T T T"
Mg 0.000 0.000 0.000
Se 2.890 2.890 2.890
I 0.000 2.890 2.890
I 2.890 0.000 2.890
I 2.890 2.890 0.000
```

***

Record 3
The following is a GGA-PBE calculation of a geometry-optimized MgSe3I structure, from Alexandria.

Computed properties:
- crystal system = cubic
- space-group type = Pm-3m, No. 221
- formation energy (no corrections) (meV/atom) = 217
- V (A^3/atom) = 26.66

```
5
Lattice="5.108 0.000 0.000 0.000 5.108 0.000 0.000 0.000 5.108" Properties=species:S:1:pos:R:3 pbc="T T T"
Mg 0.000 0.000 0.000
Se 0.000 0.000 2.554
Se 0.000 2.554 0.000
Se 2.554 0.000 0.000
I 2.554 2.554 2.554
```

***

Record 4
The following is a GGA-PBE calculation of a geometry-optimized Mg2SeI2 structure, from Alexandria.

Computed properties:
- crystal system = tetragonal
- space-group type = I4/mmm, No. 139
- formation energy (no corrections) (meV/atom) = -164
- V (A^3/atom) = 31.84

```
10
Lattice="5.095 0.000 0.000 0.000 5.095 0.000 0.000 0.000 12.267" Properties=species:S:1:pos:R:3 pbc="T T T"
Mg 0.000 0.000 1.590
Mg 0.000 0.000 10.676
Mg 2.548 2.548 4.543
Mg 2.548 2.548 7.724
Se 0.000 0.000 6.133
Se 2.548 2.548 0.000
I 0.000 2.548 3.067
I 0.000 2.548 9.200
I 2.548 0.000 3.067
I 2.548 0.000 9.200
```

***

Record 5
The following is a GGA-PBE calculation of a geometry-optimized MgSeI3 structure, from Alexandria.

Computed properties:
- crystal system = cubic
- space-group type = Pm-3m, No. 221
- formation energy (no corrections) (meV/atom) = -26
- V (A^3/atom) = 38.22

```
5
Lattice="5.760 0.000 0.000 0.000 5.760 0.000 0.000 0.000 5.760" Properties=species:S:1:pos:R:3 pbc="T T T"
Mg 0.000 0.000 0.000
Se 2.880 2.880 2.880
I 0.000 0.000 2.880
I 0.000 2.880 0.000
I 2.880 0.000 0.000
```

***

Record 6
The following is a GGA-PBE calculation of a geometry-optimized MgSnSe2I structure, from Alexandria.

Computed properties:
- crystal system = tetragonal
- space-group type = P4/mmm, No. 123
- formation energy (no corrections) (meV/atom) = 518
- V (A^3/atom) = 34.13

```
5
Lattice="5.729 0.000 0.000 0.000 5.729 0.000 0.000 0.000 5.199" Properties=species:S:1:pos:R:3 pbc="T T T"
Mg 0.000 0.000 0.000
Sn 2.865 2.865 0.000
Se 0.000 2.865 2.599
Se 2.865 0.000 2.599
I 0.000 0.000 2.599
```

***

Record 7
The following is a GGA-PBE calculation of a geometry-optimized MgSn2SeI structure, from Alexandria.

Computed properties:
- crystal system = tetragonal
- space-group type = P4/mmm, No. 123
- formation energy (no corrections) (meV/atom) = 374
- V (A^3/atom) = 36.21

```
5
Lattice="5.635 0.000 0.000 0.000 5.635 0.000 0.000 0.000 5.701" Properties=species:S:1:pos:R:3 pbc="T T T"
Mg 0.000 0.000 0.000
Sn 0.000 2.818 2.850
Sn 2.818 0.000 2.850
Se 2.818 2.818 2.850
I 2.818 2.818 0.000
```

***

Record 8
The following is a GGA-PBE calculation of a geometry-optimized Mg2TcSeI structure, from Alexandria.

Computed properties:
- crystal system = tetragonal
- space-group type = P4/mmm, No. 123
- formation energy (no corrections) (meV/atom) = 369
- V (A^3/atom) = 26.97

```
5
Lattice="5.375 0.000 0.000 0.000 5.375 0.000 0.000 0.000 4.668" Properties=species:S:1:pos:R:3 pbc="T T T"
Mg 0.000 2.687 0.000
Mg 2.687 0.000 0.000
Tc 0.000 0.000 2.334
Se 0.000 0.000 0.000
I 2.687 2.687 2.334
```